Compound: CoSeCl
Source: the Alexandria database
Functional: PBE
Structure: relaxed

Results
ΔE_f (raw) ... -0.128 eV per atom
V ... 73.3 Å³/cell
SG ... No. 42

Cell: 7.6781 7.1789 3.5841 Å, 83.94 68.40 27.66°
Fractional coordinates of all 3 atoms:
Cl1 0.9446 0.9446 0.0554
Co1 0.3327 0.3327 0.6673
Se1 0.7226 0.7226 0.2774

=====

Compound: MgBiPd5
Source: the Alexandria database
Functional: PBE
Structure: relaxed

Results
Electronic total energy ... -4.20 eV/atom
V ... 174.0 Å³/cell
SG ... No. 44

Cell: 5.2658 9.0231 6.3800 Å, 135.00 114.37 90.00°
Fractional coordinates of all 7 atoms:
Pd1 0.0338 0.1834 0.3668
Pd2 0.8792 0.2466 0.0000
Pd3 0.6670 0.8166 0.6332
Pd4 0.1147 0.5000 0.0000
Pd5 0.8792 0.7534 0.0000
Bi1 0.6144 0.5000 0.0000
Mg1 0.3423 0.0000 0.0000